1.
Entry from Alexandria: a relaxed LiMg6SbO8 crystal (PBE).

Properties
- raw total energy (eV per atom) = -5.767

Cell lengths 4.358, 4.358, 8.828 Å; angles 90.00, 90.00, 90.00 degrees
Positions (direct):
Li1 0.000 0.000 0.000
Mg1 0.000 0.000 0.500
Mg2 0.000 0.500 0.260
Mg3 0.000 0.500 0.740
Mg4 0.500 0.000 0.260
Mg5 0.500 0.000 0.740
Mg6 0.500 0.500 0.500
Sb1 0.500 0.500 0.000
O1 0.000 0.000 0.261
O2 0.000 0.000 0.739
O3 0.000 0.500 0.000
O4 0.000 0.500 0.500
O5 0.500 0.000 0.000
O6 0.500 0.000 0.500
O7 0.500 0.500 0.265
O8 0.500 0.500 0.735

2.
Entry from Alexandria: a relaxed LiMg30SbO32 crystal (PBE).

Properties
- raw total energy (eV per atom) = -5.922

Cell lengths 8.576, 8.576, 8.570 Å; angles 90.00, 90.00, 90.00 degrees
Positions (direct):
Li1 0.000 0.000 0.000
Mg1 0.000 0.253 0.240
Mg2 0.000 0.253 0.760
Mg3 0.000 0.500 0.000
Mg4 0.000 0.500 0.500
Mg5 0.000 0.747 0.240
Mg6 0.000 0.747 0.760
Mg7 0.248 0.248 0.000
Mg8 0.248 0.752 0.000
Mg9 0.250 0.500 0.248
Mg10 0.250 0.500 0.752
Mg11 0.253 0.000 0.240
Mg12 0.253 0.000 0.760
Mg13 0.256 0.256 0.500
Mg14 0.256 0.744 0.500
Mg15 0.500 0.000 0.000
Mg16 0.500 0.000 0.500
Mg17 0.500 0.250 0.248
Mg18 0.500 0.250 0.752
Mg19 0.500 0.500 0.000
Mg20 0.500 0.500 0.500
Mg21 0.500 0.750 0.248
Mg22 0.500 0.750 0.752
Mg23 0.744 0.256 0.500
Mg24 0.744 0.744 0.500
Mg25 0.747 0.000 0.240
Mg26 0.747 0.000 0.760
Mg27 0.750 0.500 0.248
Mg28 0.750 0.500 0.752
Mg29 0.752 0.248 0.000
Mg30 0.752 0.752 0.000
Sb1 0.000 0.000 0.500
O1 0.000 0.000 0.239
O2 0.000 0.000 0.761
O3 0.000 0.259 0.000
O4 0.000 0.263 0.500
O5 0.000 0.500 0.250
O6 0.000 0.500 0.750
O7 0.000 0.737 0.500
O8 0.000 0.741 0.000
O9 0.249 0.249 0.251
O10 0.249 0.249 0.749
O11 0.249 0.751 0.251
O12 0.249 0.751 0.749
O13 0.252 0.500 0.000
O14 0.252 0.500 0.500
O15 0.259 0.000 0.000
O16 0.263 0.000 0.500
O17 0.500 0.000 0.250
O18 0.500 0.000 0.750
O19 0.500 0.252 0.000
O20 0.500 0.252 0.500
O21 0.500 0.500 0.250
O22 0.500 0.500 0.750
O23 0.500 0.748 0.000
O24 0.500 0.748 0.500
O25 0.737 0.000 0.500
O26 0.741 0.000 0.000
O27 0.748 0.500 0.000
O28 0.748 0.500 0.500
O29 0.751 0.249 0.251
O30 0.751 0.249 0.749
O31 0.751 0.751 0.251
O32 0.751 0.751 0.749

3.
Entry from Alexandria: a relaxed LiMg2SbO crystal (PBE).

Properties
- raw total energy (eV per atom) = -4.121

Cell lengths 4.318, 4.318, 4.247 Å; angles 90.00, 90.00, 90.00 degrees
Positions (direct):
Li1 0.000 0.000 0.000
Mg1 0.000 0.500 0.500
Mg2 0.500 0.000 0.500
Sb1 0.500 0.500 0.000
O1 0.000 0.000 0.500

4.
Entry from Alexandria: a relaxed LiMgSe2O6 crystal (PBE).

Properties
- raw total energy (eV per atom) = -5.330

Cell lengths 6.665, 6.665, 6.586 Å; angles 106.37, 106.37, 91.90 degrees
Positions (direct):
Li1 0.237 0.763 0.750
Li2 0.763 0.237 0.250
Mg1 0.437 0.563 0.250
Mg2 0.563 0.437 0.750
Se1 0.059 0.329 0.749
Se2 0.329 0.059 0.249
Se3 0.671 0.941 0.751
Se4 0.941 0.671 0.251
O1 0.034 0.255 0.474
O2 0.127 0.501 0.225
O3 0.255 0.034 0.974
O4 0.295 0.501 0.865
O5 0.499 0.705 0.635
O6 0.499 0.873 0.275
O7 0.501 0.127 0.725
O8 0.501 0.295 0.365
O9 0.705 0.499 0.135
O10 0.745 0.966 0.026
O11 0.873 0.499 0.775
O12 0.966 0.745 0.526

5.
Entry from Alexandria: a relaxed LiMgSeO4 crystal (PBE).

Properties
- raw total energy (eV per atom) = -5.313

Cell lengths 5.933, 5.933, 5.933 Å; angles 117.25, 117.20, 94.88 degrees
Positions (direct):
Li1 0.500 0.000 0.000
Li2 0.500 0.500 0.500
Mg1 0.000 0.000 0.000
Mg2 0.500 0.000 0.500
Se1 0.149 0.399 0.750
Se2 0.851 0.601 0.250
O1 0.202 0.726 0.476
O2 0.249 0.274 0.976
O3 0.255 0.222 0.467
O4 0.255 0.788 0.033
O5 0.745 0.212 0.967
O6 0.745 0.778 0.533
O7 0.751 0.726 0.024
O8 0.798 0.274 0.524

6.
Entry from Alexandria: a relaxed Li2Mg2SeO6 crystal (PBE).

Properties
- raw total energy (eV per atom) = -5.475

Cell lengths 5.143, 5.143, 5.171 Å; angles 97.70, 97.70, 119.43 degrees
Positions (direct):
Li1 0.146 0.854 0.000
Li2 0.854 0.146 0.000
Mg1 0.336 0.664 0.500
Mg2 0.664 0.336 0.500
Se1 0.000 0.000 0.500
O1 0.049 0.350 0.708
O2 0.233 0.233 0.289
O3 0.350 0.049 0.708
O4 0.650 0.951 0.292
O5 0.767 0.767 0.711
O6 0.951 0.650 0.292

7.
Entry from Alexandria: a relaxed Li2MgSiO4 crystal (PBE).

Properties
- raw total energy (eV per atom) = -6.441

Cell lengths 5.070, 10.800, 8.095 Å; angles 90.00, 128.25, 90.00 degrees
Positions (direct):
Li1 0.033 0.074 0.237
Li2 0.033 0.426 0.737
Li3 0.188 0.162 0.995
Li4 0.188 0.338 0.495
Li5 0.812 0.662 0.505
Li6 0.812 0.838 0.005
Li7 0.967 0.574 0.263
Li8 0.967 0.926 0.763
Mg1 0.309 0.665 0.001
Mg2 0.309 0.835 0.501
Mg3 0.691 0.165 0.499
Mg4 0.691 0.335 0.999
Si1 0.436 0.087 0.748
Si2 0.436 0.413 0.248
Si3 0.564 0.587 0.752
Si4 0.564 0.913 0.252
O1 0.107 0.091 0.745
O2 0.107 0.409 0.245
O3 0.247 0.661 0.541
O4 0.247 0.839 0.041
O5 0.332 0.159 0.533
O6 0.332 0.341 0.033
O7 0.455 0.057 0.249
O8 0.455 0.443 0.749
O9 0.545 0.557 0.251
O10 0.545 0.943 0.751
O11 0.668 0.659 0.967
O12 0.668 0.841 0.467
O13 0.753 0.161 0.959
O14 0.753 0.339 0.459
O15 0.893 0.591 0.755
O16 0.893 0.909 0.255

8.
Entry from Alexandria: a relaxed Li2MgSiO4 crystal (PBE).

Properties
- raw total energy (eV per atom) = -6.440

Cell lengths 10.806, 5.069, 6.356 Å; angles 90.00, 90.00, 90.00 degrees
Positions (direct):
Li1 0.075 0.207 0.000
Li2 0.161 0.807 0.249
Li3 0.339 0.307 0.749
Li4 0.425 0.707 0.500
Li5 0.575 0.293 0.000
Li6 0.661 0.693 0.249
Li7 0.839 0.193 0.749
Li8 0.925 0.793 0.500
Mg1 0.166 0.808 0.746
Mg2 0.334 0.308 0.246
Mg3 0.666 0.692 0.746
Mg4 0.834 0.192 0.246
Si1 0.087 0.310 0.498
Si2 0.413 0.810 0.998
Si3 0.587 0.190 0.498
Si4 0.913 0.690 0.998
O1 0.057 0.794 0.994
O2 0.091 0.637 0.501
O3 0.160 0.200 0.710
O4 0.160 0.205 0.284
O5 0.340 0.700 0.210
O6 0.340 0.705 0.784
O7 0.409 0.137 0.001
O8 0.443 0.294 0.494
O9 0.557 0.706 0.994
O10 0.591 0.863 0.501
O11 0.660 0.295 0.284
O12 0.660 0.300 0.710
O13 0.840 0.795 0.784
O14 0.840 0.800 0.210
O15 0.909 0.363 0.001
O16 0.943 0.206 0.494